(1)
This record from Alexandria describes LiPm2Os at its PBEsol-relaxed geometry. The functional is meta-GGA SCAN.

## Properties
E_form in eV/atom: -0.208
Theoretical density in g/cm3: 9.432

Structure (CIF):
```
data_LiPm2Os
_symmetry_space_group_name_H-M 'F m -3 m'
_symmetry_Int_Tables_number 225
_symmetry_space_group_name_Hall '-F 4 2 3'
_cell_length_a 7.0004
_cell_length_b 7.0004
_cell_length_c 7.0004
_cell_angle_alpha 90.00
_cell_angle_beta 90.00
_cell_angle_gamma 90.00
loop_
_atom_site_label
_atom_site_type_symbol
_atom_site_fract_x
_atom_site_fract_y
_atom_site_fract_z
Li1 Li 0.0000 0.0000 0.0000
Pm1 Pm 0.2500 0.2500 0.2500
Os1 Os 0.0000 0.0000 0.5000
```

=====

(2)
This record from Alexandria describes Li2OsPt at its PBEsol-relaxed geometry. The functional is meta-GGA SCAN.

## Properties
E_form in eV/atom: -0.116
Theoretical density in g/cm3: 11.754
Energy above the most stable polymorph in this dataset in kJ/mol of atoms: 0.0

Structure (CIF):
```
data_Li2OsPt
_symmetry_space_group_name_H-M 'P m m 2'
_symmetry_Int_Tables_number 25
_cell_length_a 2.6136
_cell_length_b 4.2262
_cell_length_c 5.1057
_cell_angle_alpha 90.00
_cell_angle_beta 90.00
_cell_angle_gamma 90.00
loop_
_symmetry_equiv_pos_as_xyz
'x,y,z'
'-x,-y,z'
'-x,y,z'
'x,-y,z'
loop_
_atom_site_label
_atom_site_type_symbol
_atom_site_fract_x
_atom_site_fract_y
_atom_site_fract_z
Li1 Li 0.0000 0.0000 0.0000
Li2 Li 0.5000 0.5000 0.1962
Os1 Os 0.0000 0.0000 0.5138
Pt1 Pt 0.5000 0.5000 0.6821
```

=====

(3)
This record from Alexandria describes Li2OsPt at its PBEsol-relaxed geometry. The functional is meta-GGA SCAN.

## Properties
E_form in eV/atom: -0.030
Theoretical density in g/cm3: 12.108
Energy above the most stable polymorph in this dataset in kJ/mol of atoms: 8.4

Structure (CIF):
```
data_Li2OsPt
_symmetry_space_group_name_H-M 'P m m m'
_symmetry_Int_Tables_number 47
_cell_length_a 2.5376
_cell_length_b 4.1731
_cell_length_c 5.1698
_cell_angle_alpha 90.00
_cell_angle_beta 90.00
_cell_angle_gamma 90.00
loop_
_symmetry_equiv_pos_as_xyz
'x,y,z'
'-x,-y,-z'
'-x,-y,z'
'x,y,-z'
'x,-y,-z'
'-x,y,z'
'-x,y,-z'
'x,-y,z'
loop_
_atom_site_label
_atom_site_type_symbol
_atom_site_fract_x
_atom_site_fract_y
_atom_site_fract_z
Li1 Li 0.0000 0.0000 0.2482
Os1 Os 0.5000 0.5000 0.0000
Pt1 Pt 0.5000 0.5000 0.5000
```

=====

(4)
This record from Alexandria describes LiOsPt2 at its PBEsol-relaxed geometry. The functional is meta-GGA SCAN.

## Properties
E_form in eV/atom: 0.072
Theoretical density in g/cm3: 16.867
Energy above the most stable polymorph in this dataset in kJ/mol of atoms: 3.5

Structure (CIF):
```
data_LiOsPt2
_symmetry_space_group_name_H-M 'C m m 2'
_symmetry_Int_Tables_number 35
_cell_length_a 2.7013
_cell_length_b 4.6150
_cell_length_c 9.2761
_cell_angle_alpha 90.00
_cell_angle_beta 90.00
_cell_angle_gamma 90.00
loop_
_symmetry_equiv_pos_as_xyz
'x,y,z'
'-x,-y,z'
'-x,y,z'
'x,-y,z'
'x+1/2,y+1/2,z'
'-x+1/2,-y+1/2,z'
'-x+1/2,y+1/2,z'
'x+1/2,-y+1/2,z'
loop_
_atom_site_label
_atom_site_type_symbol
_atom_site_fract_x
_atom_site_fract_y
_atom_site_fract_z
Li1 Li 0.0000 0.0000 0.0000
Os1 Os 0.0000 0.5000 0.2500
Pt1 Pt 0.0000 0.0000 0.5003
Pt2 Pt 0.0000 0.5000 0.7663
```

=====

(5)
This record from Alexandria describes LiOs2Pt at its PBEsol-relaxed geometry. The functional is meta-GGA SCAN.

## Properties
E_form in eV/atom: 0.000
Theoretical density in g/cm3: 17.655
Energy above the most stable polymorph in this dataset in kJ/mol of atoms: 0.0

Structure (CIF):
```
data_LiOs2Pt
_symmetry_space_group_name_H-M 'C 1 2/m 1'
_symmetry_Int_Tables_number 12
_cell_length_a 9.0601
_cell_length_b 2.6734
_cell_length_c 4.5625
_cell_angle_alpha 90.00
_cell_angle_beta 97.49
_cell_angle_gamma 90.00
loop_
_symmetry_equiv_pos_as_xyz
'x,y,z'
'-x,-y,-z'
'-x,y,-z'
'x,-y,z'
'x+1/2,y+1/2,z'
'-x+1/2,-y+1/2,-z'
'-x+1/2,y+1/2,-z'
'x+1/2,-y+1/2,z'
loop_
_atom_site_label
_atom_site_type_symbol
_atom_site_fract_x
_atom_site_fract_y
_atom_site_fract_z
Li1 Li 0.0000 0.0000 0.0000
Os1 Os 0.2411 0.0000 0.7555
Pt1 Pt 0.0000 0.5000 0.5000
```

=====

(6)
This record from Alexandria describes LiOs2Pt at its PBEsol-relaxed geometry. The functional is meta-GGA SCAN.

## Properties
E_form in eV/atom: 0.011
Theoretical density in g/cm3: 17.511
Energy above the most stable polymorph in this dataset in kJ/mol of atoms: 1.0

Structure (CIF):
```
data_LiOs2Pt
_symmetry_space_group_name_H-M 'C 1 m 1'
_symmetry_Int_Tables_number 8
_cell_length_a 8.8006
_cell_length_b 2.6607
_cell_length_c 4.7624
_cell_angle_alpha 90.00
_cell_angle_beta 97.84
_cell_angle_gamma 90.00
loop_
_symmetry_equiv_pos_as_xyz
'x,y,z'
'x,-y,z'
'x+1/2,y+1/2,z'
'x+1/2,-y+1/2,z'
loop_
_atom_site_label
_atom_site_type_symbol
_atom_site_fract_x
_atom_site_fract_y
_atom_site_fract_z
Li1 Li 0.0000 0.0000 0.0000
Os1 Os 0.2366 0.0000 0.6926
Os2 Os 0.4911 0.0000 0.5105
Pt1 Pt 0.2526 0.5000 0.1831
```

=====

Question: The highest E_form belongs to which entry?
Answer: LiOsPt2

=====

Question: Which of these has the highest theoretical density?
Answer: number 5

=====

Question: Look up the theoretical density of the fourth one.
Answer: 16.867 g/cm3

=====

Question: E_form of number 3 (Li2OsPt)?
Answer: -0.030 eV/atom